A geometry-optimized ThTl2Ga structure, computed with GGA-PBE.

For the formation energy, the calculation gives 0.23 eV per atom. As for the polymorph energy (0 for the lowest one): 10.32 kcal/mol of atoms.

It has space group R-3m (No. 166, hexagonal axes), with a = 3.4507 Å, b = 3.4507 Å, c = 34.1068 Å, α = 90.00°, β = 90.00° and γ = 120.00°. The asymmetric unit holds Th at (0.0000, 0.0000, 0.0000), Tl at (0.0000, 0.0000, 0.0961) and Ga at (0.0000, 0.0000, 0.5000).


A geometry-optimized Th2TlGa structure, computed with GGA-PBE.

For the formation energy, the calculation gives -0.29 eV per atom. As for the polymorph energy (0 for the lowest one): 0.00 kcal/mol of atoms.

It has space group P4/mmm (No. 123), with a = 3.474 Å, b = 3.474 Å, c = 8.979 Å, α = 90.00°, β = 90.00° and γ = 90.00°. The asymmetric unit holds Th at (0.000, 0.000, 0.228), Tl at (0.500, 0.500, 0.500) and Ga at (0.500, 0.500, 0.000).


A geometry-optimized Th2TlGa2 structure, computed with GGA-PBE.

For the formation energy, the calculation gives -0.42 eV per atom.

It has space group P4/mbm (No. 127), with a = 7.553 Å, b = 7.553 Å, c = 4.464 Å, α = 90.00°, β = 90.00° and γ = 90.00°. The asymmetric unit holds Th at (0.175, 0.325, 0.000), Tl at (0.000, 0.000, 0.500) and Ga at (0.121, 0.621, 0.500).


A geometry-optimized Th2TlGa structure, computed with GGA-PBE.

For the formation energy, the calculation gives -0.25 eV per atom. As for the polymorph energy (0 for the lowest one): 0.98 kcal/mol of atoms.

It has space group P4/mmm (No. 123), with a = 4.936 Å, b = 4.936 Å, c = 4.466 Å, α = 90.00°, β = 90.00° and γ = 90.00°. The asymmetric unit holds Th at (0.000, 0.500, 0.000), Tl at (0.000, 0.000, 0.500) and Ga at (0.500, 0.500, 0.500).


A geometry-optimized ThTlGa structure, computed with GGA-PBE.

For the formation energy, the calculation gives -0.13 eV per atom. As for the polymorph energy (0 for the lowest one): 3.11 kcal/mol of atoms.

It has space group I4mm (No. 107), with a = 3.598 Å, b = 3.598 Å, c = 12.014 Å, α = 90.00°, β = 90.00° and γ = 90.00°. The asymmetric unit holds Th at (0.000, 0.000, 0.000), Tl at (0.000, 0.000, 0.302) and Ga at (0.000, 0.000, 0.660).


A geometry-optimized Th7Tl2Ga2 structure, computed with GGA-PBE.

For the formation energy, the calculation gives 0.08 eV per atom.

It has space group Cmmm (No. 65), with a = 8.622 Å, b = 11.233 Å, c = 7.182 Å, α = 90.00°, β = 90.00° and γ = 90.00°. The asymmetric unit holds Th at (0.000, 0.000, 0.000), Th at (0.000, 0.500, 0.250), Th at (0.250, 0.250, 0.274), Tl at (0.169, 0.000, 0.500) and Ga at (0.000, 0.273, 0.000).